Entry 1:
Density functional theory data (PBE) for an optimized crystal structure of PrGePRh2.

Energy of formation from the pure elements: -834 meV per atom
M_tot: 0.0 μB/cell

abc: 6.383 6.383 7.463
angles: 90.00 90.00 141.73
Positions (direct):
1 Pr 0.053 0.947 0.750
2 Pr 0.947 0.053 0.250
3 Ge 0.226 0.774 0.250
4 Ge 0.774 0.226 0.750
5 P 0.500 0.500 0.000
6 P 0.500 0.500 0.500
7 Rh 0.321 0.679 0.560
8 Rh 0.321 0.679 0.940
9 Rh 0.679 0.321 0.060
10 Rh 0.679 0.321 0.440

---

Entry 2:
Density functional theory data (PBE) for an optimized crystal structure of Pr4GeP2S.

Raw total energy: -0.233 Ha/atom
M_tot: 0.0 μB/cell

abc: 7.314 4.196 7.319
angles: 90.00 109.31 90.00
Positions (direct):
1 Pr 0.245 0.000 0.243
2 Pr 0.253 0.500 0.757
3 Pr 0.747 0.500 0.243
4 Pr 0.755 0.000 0.757
5 Ge 0.500 0.500 0.500
6 P 0.000 0.500 0.000
7 P 0.500 0.000 0.000
8 S 0.000 0.000 0.500

---

Entry 3:
Density functional theory data (PBE) for an optimized crystal structure of Pr6GeP3S2.

Raw total energy: -0.236 Ha/atom
M_tot: 0.0 μB/cell

abc: 9.393 9.393 8.413
angles: 102.91 102.91 25.79
Positions (direct):
1 Pr 0.000 0.000 0.245
2 Pr 0.000 0.000 0.755
3 Pr 0.332 0.332 0.420
4 Pr 0.335 0.335 0.912
5 Pr 0.665 0.665 0.088
6 Pr 0.668 0.668 0.580
7 Ge 0.500 0.500 0.500
8 P 0.167 0.167 0.332
9 P 0.500 0.500 0.000
10 P 0.833 0.833 0.668
11 S 0.169 0.169 0.837
12 S 0.831 0.831 0.163

---

Entry 4:
Density functional theory data (PBE) for an optimized crystal structure of Pr8GeP3S4.

Raw total energy: -0.238 Ha/atom
M_tot: 0.0 μB/cell

abc: 8.364 8.364 8.364
angles: 60.05 60.05 60.05
Positions (direct):
1 Pr 0.246 0.750 0.750
2 Pr 0.247 0.247 0.247
3 Pr 0.250 0.250 0.754
4 Pr 0.250 0.754 0.250
5 Pr 0.750 0.246 0.750
6 Pr 0.750 0.750 0.246
7 Pr 0.753 0.753 0.753
8 Pr 0.754 0.250 0.250
9 Ge 0.500 0.500 0.500
10 P 0.000 0.000 0.500
11 P 0.000 0.500 0.000
12 P 0.500 0.000 0.000
13 S 0.000 0.000 0.000
14 S 0.000 0.500 0.500
15 S 0.500 0.000 0.500
16 S 0.500 0.500 0.000

---

Entry 5:
Density functional theory data (PBE) for an optimized crystal structure of Pr4GePS2.

Raw total energy: -0.232 Ha/atom
M_tot: 0.0 μB/cell

abc: 8.404 8.404 8.404
angles: 120.08 119.92 90.00
Positions (direct):
1 Pr 0.252 0.252 0.500
2 Pr 0.252 0.751 0.000
3 Pr 0.254 0.249 0.004
4 Pr 0.255 0.751 0.504
5 Pr 0.745 0.249 0.496
6 Pr 0.746 0.751 0.996
7 Pr 0.748 0.249 0.000
8 Pr 0.748 0.748 0.500
9 Ge 0.000 0.000 0.000
10 Ge 0.500 0.000 0.500
11 P 0.500 0.000 0.000
12 P 0.500 0.500 0.500
13 S 0.000 0.000 0.500
14 S 0.000 0.500 0.000
15 S 0.000 0.500 0.500
16 S 0.500 0.500 0.000

---

Entry 6:
Density functional theory data (PBE) for an optimized crystal structure of Pr6GeP2S3.

Raw total energy: -0.236 Ha/atom
M_tot: 0.0 μB/cell

abc: 9.370 9.370 8.369
angles: 102.90 102.90 25.87
Positions (direct):
1 Pr 0.001 0.001 0.251
2 Pr 0.331 0.331 0.421
3 Pr 0.333 0.333 0.913
4 Pr 0.667 0.667 0.087
5 Pr 0.669 0.669 0.579
6 Pr 0.999 0.999 0.749
7 Ge 0.500 0.500 0.000
8 P 0.167 0.167 0.335
9 P 0.833 0.833 0.665
10 S 0.167 0.167 0.832
11 S 0.500 0.500 0.500
12 S 0.833 0.833 0.168

---

Entry 7:
Density functional theory data (PBE) for an optimized crystal structure of Pr4GeP2Se.

Raw total energy: -0.229 Ha/atom
M_tot: 0.0 μB/cell

abc: 7.379 4.225 7.391
angles: 90.00 109.18 90.00
Positions (direct):
1 Pr 0.242 0.000 0.238
2 Pr 0.252 0.500 0.760
3 Pr 0.748 0.500 0.240
4 Pr 0.758 0.000 0.762
5 Ge 0.000 0.000 0.500
6 P 0.000 0.500 0.000
7 P 0.500 0.000 0.000
8 Se 0.500 0.500 0.500

---

Entry 8:
Density functional theory data (PBE) for an optimized crystal structure of Pr6GeP2Se3.

Raw total energy: -0.228 Ha/atom
M_tot: 0.0 μB/cell

abc: 9.572 9.572 8.567
angles: 103.65 103.65 25.68
Positions (direct):
1 Pr 0.004 0.004 0.245
2 Pr 0.329 0.329 0.427
3 Pr 0.336 0.336 0.906
4 Pr 0.664 0.664 0.094
5 Pr 0.671 0.671 0.573
6 Pr 0.996 0.996 0.755
7 Ge 0.500 0.500 0.000
8 P 0.167 0.167 0.335
9 P 0.833 0.833 0.665
10 Se 0.167 0.167 0.832
11 Se 0.500 0.500 0.500
12 Se 0.833 0.833 0.168

---

Entry 9:
Density functional theory data (PBE) for an optimized crystal structure of Pr8GeP3Se4.

Raw total energy: -0.229 Ha/atom
M_tot: 0.0 μB/cell

abc: 8.565 8.565 8.565
angles: 59.37 59.37 59.37
Positions (direct):
1 Pr 0.243 0.746 0.746
2 Pr 0.244 0.244 0.244
3 Pr 0.254 0.254 0.757
4 Pr 0.254 0.757 0.254
5 Pr 0.746 0.243 0.746
6 Pr 0.746 0.746 0.243
7 Pr 0.756 0.756 0.756
8 Pr 0.757 0.254 0.254
9 Ge 0.500 0.500 0.500
10 P 0.000 0.000 0.500
11 P 0.000 0.500 0.000
12 P 0.500 0.000 0.000
13 Se 0.000 0.000 0.000
14 Se 0.000 0.500 0.500
15 Se 0.500 0.000 0.500
16 Se 0.500 0.500 0.000

---

Entry 10:
Density functional theory data (PBE) for an optimized crystal structure of Pr4GePSe2.

Raw total energy: -0.224 Ha/atom
M_tot: 0.0 μB/cell

abc: 7.391 4.273 7.447
angles: 90.00 109.32 90.00
Positions (direct):
1 Pr 0.243 0.000 0.235
2 Pr 0.252 0.500 0.762
3 Pr 0.748 0.500 0.238
4 Pr 0.757 0.000 0.765
5 Ge 0.500 0.000 0.000
6 P 0.000 0.500 0.000
7 Se 0.000 0.000 0.500
8 Se 0.500 0.500 0.500

---

Entry 11:
Density functional theory data (PBE) for an optimized crystal structure of Pr8Ge3PSe4.

Raw total energy: -0.219 Ha/atom
M_tot: 0.0 μB/cell

abc: 8.626 8.626 8.626
angles: 59.68 59.68 59.68
Positions (direct):
1 Pr 0.247 0.247 0.247
2 Pr 0.248 0.745 0.745
3 Pr 0.255 0.255 0.752
4 Pr 0.255 0.752 0.255
5 Pr 0.745 0.248 0.745
6 Pr 0.745 0.745 0.248
7 Pr 0.752 0.255 0.255
8 Pr 0.753 0.753 0.753
9 Ge 0.000 0.000 0.500
10 Ge 0.000 0.500 0.000
11 Ge 0.500 0.000 0.000
12 P 0.500 0.500 0.500
13 Se 0.000 0.000 0.000
14 Se 0.000 0.500 0.500
15 Se 0.500 0.000 0.500
16 Se 0.500 0.500 0.000

---

Entry 12:
Density functional theory data (PBE) for an optimized crystal structure of Pr8Ge3Te4P.

Raw total energy: -0.209 Ha/atom
M_tot: 0.0 μB/cell

abc: 8.954 8.954 8.954
angles: 58.72 58.72 58.72
Positions (direct):
1 Pr 0.242 0.242 0.242
2 Pr 0.242 0.740 0.740
3 Pr 0.260 0.260 0.758
4 Pr 0.260 0.758 0.260
5 Pr 0.740 0.242 0.740
6 Pr 0.740 0.740 0.242
7 Pr 0.758 0.260 0.260
8 Pr 0.758 0.758 0.758
9 Ge 0.000 0.000 0.500
10 Ge 0.000 0.500 0.000
11 Ge 0.500 0.000 0.000
12 Te 0.000 0.000 0.000
13 Te 0.000 0.500 0.500
14 Te 0.500 0.000 0.500
15 Te 0.500 0.500 0.000
16 P 0.500 0.500 0.500

---

Entry 13:
Density functional theory data (PBE) for an optimized crystal structure of Pr6Ge3TeP2.

Raw total energy: -0.213 Ha/atom
M_tot: 0.0 μB/cell

abc: 9.710 9.710 8.840
angles: 104.11 104.11 25.17
Positions (direct):
1 Pr 0.004 0.004 0.266
2 Pr 0.328 0.328 0.903
3 Pr 0.331 0.331 0.426
4 Pr 0.669 0.669 0.574
5 Pr 0.672 0.672 0.097
6 Pr 0.996 0.996 0.734
7 Ge 0.164 0.164 0.831
8 Ge 0.500 0.500 0.500
9 Ge 0.836 0.836 0.169
10 Te 0.500 0.500 0.000
11 P 0.168 0.168 0.334
12 P 0.832 0.832 0.666

---

Entry 14:
Density functional theory data (PBE) for an optimized crystal structure of Pr6Ge2TeP3.

Raw total energy: -0.222 Ha/atom
M_tot: 0.0 μB/cell

abc: 9.656 9.656 8.732
angles: 103.99 103.99 25.34
Positions (direct):
1 Pr 0.002 0.002 0.231
2 Pr 0.327 0.327 0.421
3 Pr 0.335 0.335 0.908
4 Pr 0.665 0.665 0.092
5 Pr 0.673 0.673 0.579
6 Pr 0.998 0.998 0.769
7 Ge 0.167 0.167 0.834
8 Ge 0.833 0.833 0.166
9 Te 0.500 0.500 0.500
10 P 0.164 0.164 0.333
11 P 0.500 0.500 0.000
12 P 0.836 0.836 0.667

---

Entry 15:
Density functional theory data (PBE) for an optimized crystal structure of PrThGeP.

Energy of formation from the pure elements: -1146 meV per atom
M_tot: 0.0 μB/cell

abc: 4.244 4.244 20.852
angles: 90.00 90.00 120.00
Positions (direct):
1 Pr 0.000 0.000 0.000
2 Pr 0.333 0.667 0.667
3 Pr 0.667 0.333 0.333
4 Th 0.000 0.000 0.496
5 Th 0.333 0.667 0.162
6 Th 0.667 0.333 0.829
7 Ge 0.000 0.000 0.246
8 Ge 0.333 0.667 0.913
9 Ge 0.667 0.333 0.580
10 P 0.000 0.000 0.751
11 P 0.333 0.667 0.417
12 P 0.667 0.333 0.084

---

Entry 16:
Density functional theory data (PBE) for an optimized crystal structure of Ge2PPt2.

Energy of formation from the pure elements: 5 meV per atom
M_tot: 0.0 μB/cell

abc: 7.357 7.357 3.112
angles: 90.00 90.00 90.00
Positions (direct):
1 Ge 0.155 0.345 0.000
2 Ge 0.345 0.845 0.000
3 Ge 0.655 0.155 0.000
4 Ge 0.845 0.655 0.000
5 P 0.000 0.000 0.500
6 P 0.500 0.500 0.500
7 Pt 0.143 0.643 0.500
8 Pt 0.357 0.143 0.500
9 Pt 0.643 0.857 0.500
10 Pt 0.857 0.357 0.500

---

Entry 17:
Density functional theory data (PBE) for an optimized crystal structure of Ge2PPt.

Energy of formation from the pure elements: -102 meV per atom
M_tot: 0.0 μB/cell

abc: 5.721 5.721 10.663
angles: 90.00 90.00 90.00
Positions (direct):
1 Ge 0.249 0.250 0.125
2 Ge 0.250 0.749 0.375
3 Ge 0.250 0.751 0.875
4 Ge 0.251 0.250 0.625
5 Ge 0.749 0.750 0.625
6 Ge 0.750 0.249 0.875
7 Ge 0.750 0.251 0.375
8 Ge 0.751 0.750 0.125
9 P 0.000 0.000 0.000
10 P 0.000 0.500 0.250
11 P 0.500 0.000 0.750
12 P 0.500 0.500 0.500
13 Pt 0.000 0.000 0.500
14 Pt 0.000 0.500 0.750
15 Pt 0.500 0.000 0.250
16 Pt 0.500 0.500 0.000

---

Entry 18:
Density functional theory data (PBE) for an optimized crystal structure of Ge3PPt.

Energy of formation from the pure elements: 481 meV per atom
M_tot: 0.0 μB/cell
ΔE to the lowest computed polymorph: 0.0 meV per atom

abc: 4.848 4.848 4.848
angles: 90.00 90.00 90.00
Positions (direct):
1 Ge 0.000 0.000 0.500
2 Ge 0.000 0.500 0.000
3 Ge 0.500 0.000 0.000
4 P 0.500 0.500 0.500
5 Pt 0.000 0.000 0.000

---

Entry 19:
Density functional theory data (PBE) for an optimized crystal structure of Ge4P2Pt.

Energy of formation from the pure elements: -107 meV per atom
M_tot: 0.0 μB/cell

abc: 3.650 6.028 6.888
angles: 108.22 90.16 103.91
Positions (direct):
1 Ge 0.100 0.282 0.437
2 Ge 0.358 0.737 0.140
3 Ge 0.642 0.263 0.860
4 Ge 0.900 0.718 0.563
5 P 0.158 0.303 0.091
6 P 0.842 0.697 0.909
7 Pt 0.500 0.000 0.500

---

Entry 20:
Density functional theory data (PBE) for an optimized crystal structure of GePPt3.

Energy of formation from the pure elements: 110 meV per atom
M_tot: 0.0 μB/cell
ΔE to the lowest computed polymorph: 0.0 meV per atom

abc: 4.546 4.546 4.546
angles: 90.00 90.00 90.00
Positions (direct):
1 Ge 0.000 0.000 0.000
2 P 0.500 0.500 0.500
3 Pt 0.000 0.500 0.500
4 Pt 0.500 0.000 0.500
5 Pt 0.500 0.500 0.000